# LiMn2S2O10 GGA+U optimized geometry
data_LiMn2S2O10
_cell_length_a 5.316
_cell_length_b 5.449
_cell_length_c 6.907
_cell_angle_alpha 106.44
_cell_angle_beta 106.19
_cell_angle_gamma 97.11
_symmetry_space_group_name_H-M 'P 1'
_symmetry_Int_Tables_number 1
loop_
_symmetry_equiv_pos_as_xyz
'x,y,z'
loop_
_atom_site_label
_atom_site_type_symbol
_atom_site_fract_x
_atom_site_fract_y
_atom_site_fract_z
O1 O 0.277 0.283 0.092
O2 O 0.914 0.575 0.252
O3 O 0.089 0.425 0.755
O4 O 0.611 0.253 0.405
O5 O 0.881 0.839 0.645
O6 O 0.705 0.686 0.891
O7 O 0.304 0.863 0.140
O8 O 0.394 0.767 0.596
O9 O 0.695 0.132 0.877
O10 O 0.143 0.176 0.378
S1 S 0.336 0.144 0.254
S2 S 0.671 0.853 0.753
Li1 Li 0.269 0.126 0.753
Mn1 Mn 0.006 0.506 0.007
Mn2 Mn 0.998 0.494 0.499
# - total DFT energy (no corrections) (eV per atom) = -6.42
# - density (g/cm3) = 3.15